No. 1
Computed, not measured: a relaxed HfFeAs crystal at the GGA-PBEsol level of DFT.

V (Å³/atom): 14.40
VASP energy (Ha/atom): -0.3305
Formation energy (eV per atom): -0.802

a b c (Å): 3.8481 6.3294 7.0966
angles (deg): 90.00 90.00 90.00
Sites, in units of the cell vectors:
As: 0.2500 0.2770 0.6146
As: 0.7500 0.7230 0.3854
As: 0.2500 0.7770 0.8854
As: 0.7500 0.2230 0.1146
Hf: 0.7500 0.4853 0.8109
Hf: 0.2500 0.5147 0.1891
Hf: 0.7500 0.9853 0.6891
Hf: 0.2500 0.0147 0.3109
Fe: 0.7500 0.3517 0.4370
Fe: 0.2500 0.6483 0.5630
Fe: 0.7500 0.8517 0.0630
Fe: 0.2500 0.1483 0.9370

---

No. 2
Computed, not measured: a relaxed HfFeHg2As crystal at the GGA-PBEsol level of DFT.

V (Å³/atom): 25.52
VASP energy (Ha/atom): -0.1433
Formation energy (eV per atom): 1.241

a b c (Å): 4.4761 5.3388 5.3388
angles (deg): 90.00 90.00 90.00
Sites, in units of the cell vectors:
As: 0.5000 0.5000 0.5000
Hf: 0.0000 0.0000 0.0000
Hg: 0.0000 0.0000 0.5000
Hg: 0.0000 0.5000 0.0000
Fe: 0.5000 0.0000 0.0000

---

No. 3
Computed, not measured: a relaxed FeHg4As crystal at the GGA-PBEsol level of DFT.

V (Å³/atom): 21.28
VASP energy (Ha/atom): -0.0738
Formation energy (eV per atom): 0.715

a b c (Å): 5.6519 5.6519 5.6519
angles (deg): 60.00 60.00 60.00
Sites, in units of the cell vectors:
As: 0.7500 0.7500 0.7500
Fe: 0.0000 0.0000 0.0000
Hg: 0.8756 0.3748 0.3748
Hg: 0.3748 0.3748 0.3748
Hg: 0.3748 0.3748 0.8756
Hg: 0.3748 0.8756 0.3748